Here is a relaxed structure of K2Rb4Ag from the Alexandria database. Energies are from GGA-PBE.

a b c (Å): 6.947 6.947 12.424
angles (deg): 106.23 106.23 90.00
Fractional positions:
K  0.645  0.645  0.290
Rb  0.000  0.500  0.000
Rb  0.841  0.841  0.682
Rb  0.159  0.159  0.318
Ag  0.000  0.000  0.000
K  0.355  0.355  0.710
Rb  0.500  0.000  0.000

Computed properties:
As for the density of states at the Fermi level: 5.41 states/eV/f.u. The polymorph energy (0 for the lowest one) is 42.5 meV/atom. The space group is No. 139. The calculation puts the calculated formation energy at 0.560 eV/f.u. Its size of the total moment is 0.00 Bohr magnetons per cell.


Here is a relaxed structure of KRbAgRu2 from the Alexandria database. Energies are from GGA-PBE.

a b c (Å): 5.148 5.927 5.148
angles (deg): 90.00 90.00 90.00
Fractional positions:
Ag  0.000  0.000  0.000
K  0.000  0.500  0.000
Ru  0.000  0.000  0.500
Ru  0.500  0.000  0.000
Rb  0.500  0.500  0.500

Computed properties:
As for the density of states at the Fermi level: 5.41 states/eV/f.u. The space group is No. 123. The calculation puts the calculated formation energy at 7.298 eV/f.u. Its size of the total moment is 4.13 Bohr magnetons per cell.


Here is a relaxed structure of K2RbAgS from the Alexandria database. Energies are from GGA-PBE.

a b c (Å): 6.050 6.050 6.368
angles (deg): 90.00 90.00 90.00
Fractional positions:
Rb  0.000  0.000  0.500
Ag  0.500  0.500  0.500
S  0.000  0.000  0.000
K  0.500  0.000  0.000
K  0.000  0.500  0.000

Computed properties:
The space group is No. 123. Its size of the total moment is 0.00 Bohr magnetons per cell. The value obtained for the formation energy without anion corrections is -0.51 eV per atom.


Here is a relaxed structure of KRb2AgS from the Alexandria database. Energies are from GGA-PBE.

a b c (Å): 6.370 6.370 6.040
angles (deg): 90.00 90.00 90.00
Fractional positions:
Ag  0.500  0.500  0.500
Rb  0.000  0.500  0.000
Rb  0.500  0.000  0.000
S  0.000  0.000  0.000
K  0.000  0.000  0.500

Computed properties:
The space group is No. 123. Its size of the total moment is 0.00 Bohr magnetons per cell. The value obtained for the formation energy without anion corrections is -0.50 eV per atom.


Here is a relaxed structure of KRb2AgSe from the Alexandria database. Energies are from GGA-PBE.

a b c (Å): 6.585 6.585 6.235
angles (deg): 90.00 90.00 90.00
Fractional positions:
Se  0.000  0.000  0.000
Rb  0.000  0.500  0.000
Rb  0.500  0.000  0.000
K  0.000  0.000  0.500
Ag  0.500  0.500  0.500

Computed properties:
The space group is No. 123. Its size of the total moment is 0.00 Bohr magnetons per cell. The value obtained for the formation energy without anion corrections is -0.50 eV per atom.


Here is a relaxed structure of K2RbAgSe from the Alexandria database. Energies are from GGA-PBE.

a b c (Å): 6.244 6.244 6.593
angles (deg): 90.00 90.00 90.00
Fractional positions:
Rb  0.000  0.000  0.500
Se  0.000  0.000  0.000
K  0.500  0.000  0.000
Ag  0.500  0.500  0.500
K  0.000  0.500  0.000

Computed properties:
The space group is No. 123. Its size of the total moment is 0.00 Bohr magnetons per cell. The value obtained for the formation energy without anion corrections is -0.51 eV per atom.